Zn3Te2P2Pb2O14 at its PBEsol-relaxed geometry. Source: the Alexandria database, functional meta-GGA SCAN.

Output
* spin magnetization: 0.000 μB/f.u.
* ΔE_f (raw): -1.78 eV/atom
* calculated total energy: -0.6641 hartree per atom

Cell and atoms, written as CIF:
```
data_Zn3Te2P2Pb2O14
_symmetry_space_group_name_H-M 'P 1 21/c 1'
_symmetry_Int_Tables_number 14
_cell_length_a 5.272
_cell_length_b 7.814
_cell_length_c 15.191
_cell_angle_alpha 90.00
_cell_angle_beta 90.23
_cell_angle_gamma 90.00
loop_
_symmetry_equiv_pos_as_xyz
'x,y,z'
'-x,-y,-z'
'-x,y+1/2,-z+1/2'
'x,-y+1/2,z+1/2'
loop_
_atom_site_label
_atom_site_fract_x
_atom_site_fract_y
_atom_site_fract_z
Zn1 0.000 0.000 0.000
Zn2 0.015 0.116 0.387
Te1 0.491 0.220 0.516
P1 0.041 0.241 0.192
Pb1 0.499 0.558 0.696
O1 0.105 0.099 0.125
O2 0.157 0.087 0.660
O3 0.189 0.198 0.279
O4 0.242 0.733 0.567
O5 0.246 0.749 0.291
O6 0.292 0.115 0.949
O7 0.300 0.040 0.459
```